Entry from Alexandria via LeMat-Bulk: an optimized crystal structure of La5TbNd2Tm (GGA-PBE).

Its energy of formation from the pure elements is 268 meV/atom. The crystal system is tetragonal.

The space group is I4/mcm (No. 140) and the conventional cell measures 8.644, 8.644 and 17.397 Å, with angles of 90.00, 90.00 and 90.00 degrees. The distinct sites, in fractional coordinates, are La at (0.000, 0.000, 0.000), La at (0.221, 0.279, 0.144), Tb at (0.000, 0.000, 0.250), Nd at (0.124, 0.376, 0.500) and Tm at (0.000, 0.500, 0.250).